{
  "formula": "V2CoH",
  "functional": "PBE",
  "state": "relaxed",
  "space_group": "No. 62",
  "density_g_cm3": 6.862,
  "e_tot_ev_per_atom": -7.28,
  "polymorph_energy_mev_per_atom": 0,
  "volume_a3_per_cell": 156.6,
  "lattice": [[-2.0295, -1.9776, 0.0318], [2.6863, -2.7231, 2.0936], [-4.1583, 4.4465, 11.1193]],
  "species": ["V", "V", "V", "V", "V", "V", "V", "V", "Co", "Co", "Co", "Co", "H", "H", "H", "H"],
  "fractional_positions": [[0.2500, 0.4192, 0.2489], [0.7500, 0.5808, 0.7511], [0.7500, 0.9192, 0.2511], [0.2500, 0.0808, 0.7489], [0.2500, 0.9288, 0.0840], [0.2500, 0.5712, 0.5840], [0.7500, 0.4288, 0.4160], [0.7500, 0.0712, 0.9160], [0.7500, 0.4201, 0.0944], [0.2500, 0.5799, 0.9056], [0.2500, 0.9201, 0.4056], [0.7500, 0.0799, 0.5944], [0.2500, 0.2252, 0.4949], [0.7500, 0.7252, 0.0051], [0.7500, 0.7748, 0.5051], [0.2500, 0.2748, 0.9949]]
}